[1]
This record from the Alexandria database describes a PBEsol-optimized structure of TaAlIr. The functional is SCAN.

Formation energy from the elements ... -777 meV per atom
DOS(E_F) ... 3.36 states/eV/cell

Lattice parameters (Å, degrees): 2.898 2.898 10.745 90.00 90.00 90.00
Space group I4mm (No. 107)
One atom of each set of equivalent atoms:
Ta1 0.000 0.000 0.000
Al1 0.000 0.000 0.318
Ir1 0.000 0.000 0.673



[2]
This record from the Alexandria database describes a PBEsol-optimized structure of Cr3Tc. The functional is SCAN.

Formation energy from the elements ... 64 meV per atom
DOS(E_F) ... 6.46 states/eV/cell

Lattice parameters (Å, degrees): 2.885 4.135 8.027 90.00 90.00 90.00
Space group Cmmm (No. 65)
One atom of each set of equivalent atoms:
Cr1 0.000 0.000 0.000
Cr2 0.000 0.500 0.238
Tc1 0.000 0.000 0.500



[3]
This record from the Alexandria database describes a PBEsol-optimized structure of Nb2Tc2H. The functional is SCAN.

DOS(E_F) ... 7.47 states/eV/cell
Total DFT energy (no corrections) ... -26.845 eV per atom

Lattice parameters (Å, degrees): 4.239 4.239 10.377 90.00 90.00 90.00
Space group I4/mmm (No. 139)
One atom of each set of equivalent atoms:
Nb1 0.000 0.500 0.250
Tc1 0.000 0.000 0.116
H1 0.000 0.000 0.500



[4]
This record from the Alexandria database describes a PBEsol-optimized structure of MgInNi2. The functional is SCAN.

Formation energy from the elements ... -91 meV per atom
DOS(E_F) ... 4.65 states/eV/cell

Lattice parameters (Å, degrees): 3.314 4.044 8.514 90.00 90.00 90.00
Space group Imm2 (No. 44)
One atom of each set of equivalent atoms:
Mg1 0.000 0.000 0.000
In1 0.000 0.500 0.770
Ni1 0.000 0.000 0.520
Ni2 0.000 0.500 0.244



[5]
This record from the Alexandria database describes a PBEsol-optimized structure of CaRe2Te. The functional is SCAN.

Raw formation energy ... 2.98 eV per formula unit
DOS(E_F) ... 3.10 states/eV/cell

Lattice parameters (Å, degrees): 3.887 3.887 4.893 90.00 90.00 90.00
Space group P4/mmm (No. 123)
One atom of each set of equivalent atoms:
Ca1 0.000 0.000 0.000
Re1 0.000 0.500 0.500
Te1 0.500 0.500 0.000



[6]
This record from the Alexandria database describes a PBEsol-optimized structure of TlCrFe2. The functional is SCAN.

Formation energy from the elements ... 409 meV per atom
ΔE to the lowest computed polymorph ... 72.5 meV per atom
DOS(E_F) ... 7.69 states/eV/cell

Lattice parameters (Å, degrees): 3.801 3.801 7.616 90.00 90.00 90.00
Space group I4/mmm (No. 139)
One atom of each set of equivalent atoms:
Tl1 0.000 0.000 0.000
Cr1 0.000 0.000 0.500
Fe1 0.000 0.500 0.250



[7]
This record from the Alexandria database describes a PBEsol-optimized structure of LiReHg. The functional is SCAN.

Formation energy from the elements ... 412 meV per atom
DOS(E_F) ... 4.68 states/eV/cell

Lattice parameters (Å, degrees): 3.215 4.286 14.003 90.00 90.00 90.00
Space group Fmm2 (No. 42)
One atom of each set of equivalent atoms:
Li1 0.000 0.000 0.000
Re1 0.000 0.000 0.654
Hg1 0.000 0.000 0.333



[8]
This record from the Alexandria database describes a PBEsol-optimized structure of KSr2Cu. The functional is SCAN.

Formation energy from the elements ... 179 meV per atom
ΔE to the lowest computed polymorph ... 129.3 meV per atom
DOS(E_F) ... 3.04 states/eV/cell

Lattice parameters (Å, degrees): 4.233 4.233 9.780 90.00 90.00 90.00
Space group P4mm (No. 99)
One atom of each set of equivalent atoms:
K1 0.000 0.000 0.000
Sr1 0.000 0.000 0.622
Sr2 0.500 0.500 0.349
Cu1 0.500 0.500 0.680



[9]
This record from the Alexandria database describes a PBEsol-optimized structure of Al2TlFeBi. The functional is SCAN.

Formation energy from the elements ... 1340 meV per atom
DOS(E_F) ... 6.58 states/eV/cell

Lattice parameters (Å, degrees): 5.055 5.055 5.866 90.00 90.00 90.00
Space group P4/mmm (No. 123)
One atom of each set of equivalent atoms:
Al1 0.000 0.500 0.000
Tl1 0.000 0.000 0.000
Fe1 0.500 0.500 0.500
Bi1 0.000 0.000 0.500



[10]
This record from the Alexandria database describes a PBEsol-optimized structure of CuMoAs2. The functional is SCAN.

Formation energy from the elements ... 607 meV per atom
ΔE to the lowest computed polymorph ... 643.3 meV per atom
DOS(E_F) ... 14.45 states/eV/cell

Lattice parameters (Å, degrees): 6.247 6.247 6.247 90.00 90.00 90.00
Space group F-43m (No. 216)
One atom of each set of equivalent atoms:
Cu1 0.000 0.000 0.000
Mo1 0.250 0.250 0.750
As1 0.000 0.000 0.500
As2 0.250 0.250 0.250



[11]
This record from the Alexandria database describes a PBEsol-optimized structure of CuPtSCl2. The functional is SCAN.

Raw formation energy ... 3.08 eV per formula unit
DOS(E_F) ... 2.65 states/eV/cell

Lattice parameters (Å, degrees): 4.344 4.344 4.851 90.00 90.00 90.00
Space group P4/mmm (No. 123)
One atom of each set of equivalent atoms:
Cu1 0.000 0.000 0.000
Pt1 0.500 0.500 0.500
S1 0.000 0.000 0.500
Cl1 0.000 0.500 0.000



[12]
This record from the Alexandria database describes a PBEsol-optimized structure of Li4NbO4. The functional is SCAN.

Raw formation energy ... -20.56 eV per formula unit
ΔE to the lowest computed polymorph ... 0.0 meV per atom
DOS(E_F) ... 1.15 states/eV/cell

Lattice parameters (Å, degrees): 7.655 7.655 3.260 90.00 90.00 90.00
Space group I4/m (No. 87)
One atom of each set of equivalent atoms:
Li1 0.156 0.334 0.000
Nb1 0.000 0.000 0.000
O1 0.081 0.758 0.000



[13]
This record from the Alexandria database describes a PBEsol-optimized structure of BaZnSb. The functional is SCAN.

Raw formation energy ... -0.17 eV per formula unit
ΔE to the lowest computed polymorph ... 660.5 meV per atom
DOS(E_F) ... 10.91 states/eV/cell

Lattice parameters (Å, degrees): 7.626 7.626 7.626 90.00 90.00 90.00
Space group F-43m (No. 216)
One atom of each set of equivalent atoms:
Ba1 0.000 0.000 0.000
Zn1 0.250 0.250 0.750
Sb1 0.250 0.250 0.250



[14]
This record from the Alexandria database describes a PBEsol-optimized structure of FePbIO2. The functional is SCAN.

Raw formation energy ... -1.45 eV per formula unit
ΔE to the lowest computed polymorph ... 0.0 meV per atom
DOS(E_F) ... 1.59 states/eV/cell

Lattice parameters (Å, degrees): 4.130 4.130 5.080 90.00 90.00 90.00
Space group P4/mmm (No. 123)
One atom of each set of equivalent atoms:
Fe1 0.000 0.000 0.000
Pb1 0.500 0.500 0.500
I1 0.000 0.000 0.500
O1 0.000 0.500 0.000



[15]
This record from the Alexandria database describes a PBEsol-optimized structure of CaAg2Br. The functional is SCAN.

Raw formation energy ... -0.17 eV per formula unit
ΔE to the lowest computed polymorph ... 491.9 meV per atom
DOS(E_F) ... 11.21 states/eV/cell

Lattice parameters (Å, degrees): 7.129 7.129 7.129 90.00 90.00 90.00
Space group Fm-3m (No. 225)
One atom of each set of equivalent atoms:
Ca1 0.000 0.000 0.000
Ag1 0.250 0.250 0.250
Br1 0.000 0.000 0.500



[16]
This record from the Alexandria database describes a PBEsol-optimized structure of Na2SrLaPt. The functional is SCAN.

Formation energy from the elements ... 117 meV per atom
DOS(E_F) ... 3.26 states/eV/cell

Lattice parameters (Å, degrees): 5.465 5.465 5.602 90.00 90.00 90.00
Space group P4/mmm (No. 123)
One atom of each set of equivalent atoms:
Na1 0.000 0.500 0.000
Sr1 0.000 0.000 0.500
La1 0.500 0.500 0.500
Pt1 0.000 0.000 0.000



[17]
This record from the Alexandria database describes a PBEsol-optimized structure of Al3Ag4. The functional is SCAN.

Formation energy from the elements ... -71 meV per atom
ΔE to the lowest computed polymorph ... 30.8 meV per atom
DOS(E_F) ... 4.43 states/eV/cell

Lattice parameters (Å, degrees): 2.9117 2.9117 46.4885 90.00 90.00 120.00
Space group R3m (No. 160, hexagonal axes)
One atom of each set of equivalent atoms:
Al1 0.0000 0.0000 0.0000
Al2 0.0000 0.0000 0.1419
Al3 0.0000 0.0000 0.4273
Ag1 0.0000 0.0000 0.2874
Ag2 0.0000 0.0000 0.5706
Ag3 0.0000 0.0000 0.7139
Ag4 0.0000 0.0000 0.8541



[18]
This record from the Alexandria database describes a PBEsol-optimized structure of Cr2CoP. The functional is SCAN.

Formation energy from the elements ... 146 meV per atom
DOS(E_F) ... 6.20 states/eV/cell

Lattice parameters (Å, degrees): 3.117 3.985 7.007 90.00 90.00 90.00
Space group Cmm2 (No. 35)
One atom of each set of equivalent atoms:
Cr1 0.000 0.000 0.000
Cr2 0.000 0.500 0.266
Co1 0.000 0.500 0.730
P1 0.000 0.000 0.514



[19]
This record from the Alexandria database describes a PBEsol-optimized structure of SrCdNi2. The functional is SCAN.

Formation energy from the elements ... 342 meV per atom
DOS(E_F) ... 1.62 states/eV/cell

Lattice parameters (Å, degrees): 4.531 4.531 3.423 90.00 90.00 90.00
Space group P4/mmm (No. 123)
One atom of each set of equivalent atoms:
Sr1 0.000 0.000 0.000
Cd1 0.500 0.500 0.000
Ni1 0.000 0.500 0.500



[20]
This record from the Alexandria database describes a PBEsol-optimized structure of LaCdCl2. The functional is SCAN.

Raw formation energy ... -5.70 eV per formula unit
ΔE to the lowest computed polymorph ... 0.0 meV per atom
DOS(E_F) ... 1.29 states/eV/cell

Lattice parameters (Å, degrees): 3.892 4.572 6.366 90.00 98.67 90.00
Space group P2/m (No. 10)
One atom of each set of equivalent atoms:
La1 0.000 0.000 0.000
Cd1 0.500 0.000 0.500
Cl1 0.144 0.500 0.769



[21]
This record from the Alexandria database describes a PBEsol-optimized structure of TcPd2Au2. The functional is SCAN.

Formation energy from the elements ... 472 meV per atom
DOS(E_F) ... 6.17 states/eV/cell

Lattice parameters (Å, degrees): 3.625 3.625 13.220 90.00 90.00 90.00
Space group I4/mmm (No. 139)
One atom of each set of equivalent atoms:
Tc1 0.000 0.000 0.000
Pd1 0.000 0.500 0.250
Au1 0.000 0.000 0.401



[22]
This record from the Alexandria database describes a PBEsol-optimized structure of LaZnOs2. The functional is SCAN.

Formation energy from the elements ... 668 meV per atom
DOS(E_F) ... 11.34 states/eV/cell

Lattice parameters (Å, degrees): 2.8441 2.8441 28.4897 90.00 90.00 120.00
Space group R-3m (No. 166, hexagonal axes)
One atom of each set of equivalent atoms:
La1 0.0000 0.0000 0.0000
Zn1 0.0000 0.0000 0.5000
Os1 0.0000 0.0000 0.2386



[23]
This record from the Alexandria database describes a PBEsol-optimized structure of YPOs2. The functional is SCAN.

Formation energy from the elements ... 239 meV per atom
DOS(E_F) ... 8.05 states/eV/cell

Lattice parameters (Å, degrees): 3.749 3.749 9.309 90.00 90.00 90.00
Space group I4/mmm (No. 139)
One atom of each set of equivalent atoms:
Y1 0.000 0.000 0.000
P1 0.000 0.000 0.500
Os1 0.000 0.500 0.250



[24]
This record from the Alexandria database describes a PBEsol-optimized structure of La3RuC. The functional is SCAN.

Formation energy from the elements ... 754 meV per atom
DOS(E_F) ... 1.89 states/eV/cell

Lattice parameters (Å, degrees): 5.255 5.255 5.255 90.00 90.00 90.00
Space group Pm-3m (No. 221)
One atom of each set of equivalent atoms:
La1 0.000 0.000 0.500
Ru1 0.000 0.000 0.000
C1 0.500 0.500 0.500



[25]
This record from the Alexandria database describes a PBEsol-optimized structure of InTeAs2Pd. The functional is SCAN.

Raw formation energy ... 1.90 eV per formula unit
DOS(E_F) ... 5.56 states/eV/cell

Lattice parameters (Å, degrees): 4.766 4.766 5.533 90.00 90.00 90.00
Space group P4/mmm (No. 123)
One atom of each set of equivalent atoms:
In1 0.000 0.000 0.000
Te1 0.500 0.500 0.000
As1 0.000 0.500 0.500
Pd1 0.500 0.500 0.500



[26]
This record from the Alexandria database describes a PBEsol-optimized structure of Mn2OsPt. The functional is SCAN.

Formation energy from the elements ... -162 meV per atom
DOS(E_F) ... 6.35 states/eV/cell

Lattice parameters (Å, degrees): 2.910 4.452 8.461 90.00 90.00 90.00
Space group Cmmm (No. 65)
One atom of each set of equivalent atoms:
Mn1 0.000 0.000 0.245
Os1 0.000 0.500 0.000
Pt1 0.000 0.500 0.500



[27]
This record from the Alexandria database describes a PBEsol-optimized structure of TlWCl2. The functional is SCAN.

Raw formation energy ... 3.13 eV per formula unit
ΔE to the lowest computed polymorph ... 575.3 meV per atom
DOS(E_F) ... 1.13 states/eV/cell

Lattice parameters (Å, degrees): 4.050 4.050 11.399 90.00 90.00 90.00
Space group I-4m2 (No. 119)
One atom of each set of equivalent atoms:
Tl1 0.000 0.000 0.000
W1 0.000 0.500 0.250
Cl1 0.000 0.000 0.500
Cl2 0.000 0.500 0.750



[28]
This record from the Alexandria database describes a PBEsol-optimized structure of MnBr2O. The functional is SCAN.

Raw formation energy ... -0.76 eV per formula unit
DOS(E_F) ... 0.19 states/eV/cell

Lattice parameters (Å, degrees): 3.8194 3.8194 20.8515 90.00 90.00 120.00
Space group R-3m (No. 166, hexagonal axes)
One atom of each set of equivalent atoms:
Mn1 0.0000 0.0000 0.0000
Br1 0.0000 0.0000 0.4034
O1 0.0000 0.0000 0.5000



[29]
This record from the Alexandria database describes a PBEsol-optimized structure of SrBe2ReI. The functional is SCAN.

Raw formation energy ... 4.10 eV per formula unit
DOS(E_F) ... 4.65 states/eV/cell

Lattice parameters (Å, degrees): 4.516 4.516 6.026 90.00 90.00 90.00
Space group P4/mmm (No. 123)
One atom of each set of equivalent atoms:
Sr1 0.000 0.000 0.000
Be1 0.000 0.500 0.500
Re1 0.000 0.000 0.500
I1 0.500 0.500 0.000



[30]
This record from the Alexandria database describes a PBEsol-optimized structure of SrCaAg2. The functional is SCAN.

Formation energy from the elements ... -287 meV per atom
DOS(E_F) ... 2.58 states/eV/cell

Lattice parameters (Å, degrees): 3.746 3.746 7.404 90.00 90.00 90.00
Space group P4/mmm (No. 123)
One atom of each set of equivalent atoms:
Sr1 0.000 0.000 0.000
Ca1 0.000 0.000 0.500
Ag1 0.500 0.500 0.278